First-principles (PBE) data for crystalline BaInSn2Au4 at its relaxed geometry, as listed in the Alexandria database.

The structure in POSCAR format:
```
BaInSn2Au4
1.0
4.800 0.000 0.000
2.400 4.157 0.000
2.400 1.386 10.093
Ba Sn Au In
1 2 4 1
direct
0.000 0.000 0.000
0.758 0.758 0.725
0.242 0.242 0.275
0.600 0.600 0.199
0.133 0.133 0.600
0.867 0.867 0.400
0.400 0.400 0.801
0.500 0.500 0.500
```

## Properties
total magnetic moment: 0.0 μB/f.u.
DOS at the Fermi energy: 3.01 states/eV/f.u.
energy: -3.561 eV per atom
space-group type: R-3m
ΔH_f (0 K): -2.71 eV per formula unit